AcTaGaO6 after structural relaxation. Source: Alexandria via LeMat-Bulk, functional PBE.

Computed properties:
Calculated total energy (eV/f.u.): -71.4
Volume (Å³ per atom): 14.47
E_form (uncorrected) (eV per atom): -2.51

Cell: 5.315 5.315 10.643 Å, 90.00 90.00 120.00°
Site moments in Bohr magnetons follow the coordinates.
Element x y z (fractional)
O: 0.378 0.999 0.145  0.16
O: 0.378 0.379 0.355  0.16
O: 0.621 0.999 0.355  0.16
O: 0.379 0.378 0.855  0.16
Ac: 0.000 0.000 0.000  0.02
O: 0.379 0.001 0.645  0.16
Ga: 0.667 0.333 0.250  0.00
O: 0.999 0.378 0.645  0.16
O: 0.622 0.621 0.645  0.16
Ga: 0.333 0.667 0.750  0.00
Ac: 0.000 0.000 0.500  0.02
O: 0.621 0.622 0.145  0.16
O: 0.001 0.622 0.355  0.16
Ta: 0.667 0.333 0.750  -0.04
O: 0.001 0.379 0.145  0.16
O: 0.622 0.001 0.855  0.16
O: 0.999 0.621 0.855  0.16
Ta: 0.333 0.667 0.250  -0.04

TlGaSbAu3 after structural relaxation. Source: Alexandria via LeMat-Bulk, functional PBE.

Computed properties:
Calculated total energy (eV/f.u.): -19.5
Volume (Å³ per atom): 27.31
E_form (uncorrected) (eV per atom): -0.03

Cell: 6.359 6.299 8.766 Å, 111.06 90.00 90.00°
Element x y z (fractional)
Sb: 0.250 0.407 0.814
Au: 0.750 0.758 0.516
Au: 0.000 0.234 0.000
Au: 0.500 0.766 0.000
Au: 0.000 0.766 0.000
Ga: 0.250 0.090 0.181
Tl: 0.250 0.791 0.582
Sb: 0.750 0.593 0.186
Tl: 0.750 0.209 0.418
Au: 0.250 0.242 0.484
Au: 0.500 0.234 0.000
Ga: 0.750 0.910 0.819

Dy4Ho5Er4 after structural relaxation. Source: Alexandria via LeMat-Bulk, functional PBE.

Computed properties:
Calculated total energy (eV/f.u.): -59.3
Volume (Å³ per atom): 30.69
Formation enthalpy at 0 K (meV per atom): 19

Cell: 4.967 9.301 9.301 Å, 85.91 74.51 74.51°
Element x y z (fractional)
Ho: 0.538 0.769 0.154
Dy: 0.846 0.923 0.385
Er: 0.615 0.308 0.462
Ho: 0.307 0.154 0.231
Er: 0.923 0.462 0.692
Er: 0.385 0.692 0.538
Ho: 0.462 0.231 0.846
Ho: 0.693 0.846 0.769
Dy: 0.769 0.385 0.077
Er: 0.077 0.538 0.308
Dy: 0.231 0.615 0.923
Ho: 0.000 0.000 0.000
Dy: 0.154 0.077 0.615

ReGe3B after structural relaxation. Source: Alexandria via LeMat-Bulk, functional PBE.

Computed properties:
Energy above the lowest structure with this stoichiometry (kJ/mol of formula units): 6
Calculated total energy (eV/f.u.): -26.9
Volume (Å³ per atom): 22.43
Formation enthalpy at 0 K (meV per atom): 1225

Cell: 4.822 4.822 4.822 Å, 90.00 90.00 90.00°
Element x y z (fractional)
B: 0.500 0.500 0.500
Ge: 0.500 0.000 0.000
Ge: 0.000 0.500 0.000
Re: 0.000 0.000 0.000
Ge: 0.000 0.000 0.500

PIrBr2 after structural relaxation. Source: Alexandria via LeMat-Bulk, functional PBE.

Computed properties:
Energy above the lowest structure with this stoichiometry (kJ/mol of formula units): 566
Calculated total energy (eV/f.u.): -13.5
Volume (Å³ per atom): 19.45
E_form (uncorrected) (eV per atom): 1.03

Cell: 3.111 5.736 4.360 Å, 90.00 90.00 90.00°
Element x y z (fractional)
Br: 0.500 0.500 0.000
Ir: 0.500 0.000 0.500
Br: 0.000 0.000 0.000
P: 0.000 0.500 0.500

Tb3DyCl after structural relaxation. Source: Alexandria via LeMat-Bulk, functional PBE.

Computed properties:
Calculated total energy (eV/f.u.): -22.6
Volume (Å³ per atom): 29.72
E_form (uncorrected) (eV per atom): -0.46

Cell: 5.297 5.297 5.297 Å, 90.00 90.00 90.00°
Element x y z (fractional)
Tb: 0.000 0.500 0.000
Tb: 0.000 0.000 0.500
Cl: 0.000 0.000 0.000
Dy: 0.500 0.500 0.500
Tb: 0.500 0.000 0.000